Entry 1:
Mn2VHgPb PBE-GGA optimized geometry; raw total energy = -4.827 eV per atom; mass density = 6.6 g/cm³; energy of formation from the pure elements = 1467 meV per atom
1.0
5.015 0.000 0.000
0.000 5.015 0.000
0.000 0.000 5.659
Mn V Hg Pb
2 1 1 1
direct
0.000 0.500 0.000 Mn
0.500 0.000 0.000 Mn
0.000 0.000 0.500 V
0.500 0.500 0.000 Hg
0.500 0.500 0.500 Pb


Entry 2:
Mn2HgPd5 PBE-GGA optimized geometry; raw total energy = -5.810 eV per atom; mass density = 11.1 g/cm³; energy of formation from the pure elements = -234 meV per atom
1.0
5.613 0.000 0.000
0.000 11.188 0.000
0.000 0.000 4.029
Mn Hg Pd
4 2 10
direct
0.221 0.134 0.000 Mn
0.279 0.634 0.000 Mn
0.721 0.366 0.000 Mn
0.779 0.866 0.000 Mn
0.000 0.500 0.500 Hg
0.500 0.000 0.500 Hg
0.000 0.000 0.500 Pd
0.024 0.750 0.500 Pd
0.238 0.376 0.000 Pd
0.262 0.876 0.000 Pd
0.476 0.250 0.500 Pd
0.500 0.500 0.500 Pd
0.524 0.750 0.500 Pd
0.738 0.124 0.000 Pd
0.762 0.624 0.000 Pd
0.976 0.250 0.500 Pd


Entry 3:
Mn5HgPd6 PBE-GGA optimized geometry; raw total energy = -6.625 eV per atom; mass density = 9.8 g/cm³; energy of formation from the pure elements = -183 meV per atom
1.0
2.117 -6.365 0.000
2.117 6.365 0.000
0.000 0.000 6.977
Mn Hg Pd
5 1 6
direct
0.000 0.000 0.000 Mn
0.332 0.668 0.000 Mn
0.334 0.666 0.500 Mn
0.666 0.334 0.500 Mn
0.668 0.332 0.000 Mn
0.000 0.000 0.500 Hg
0.170 0.830 0.243 Pd
0.170 0.830 0.757 Pd
0.500 0.500 0.231 Pd
0.500 0.500 0.769 Pd
0.830 0.170 0.243 Pd
0.830 0.170 0.757 Pd


Entry 4:
Mn3HgPd PBE-GGA optimized geometry; raw total energy = -5.828 eV per atom; mass density = 6.7 g/cm³; energy above the lowest structure with this stoichiometry = 0.00 kcal/mol of atoms; energy of formation from the pure elements = 773 meV per atom
1.0
4.885 0.000 0.000
0.000 4.885 0.000
0.000 0.000 4.885
Mn Hg Pd
3 1 1
direct
0.000 0.000 0.500 Mn
0.000 0.500 0.000 Mn
0.500 0.000 0.000 Mn
0.500 0.500 0.500 Hg
0.000 0.000 0.000 Pd


Entry 5:
Mn6HgPd5 PBE-GGA optimized geometry; raw total energy = -6.863 eV per atom; mass density = 9.3 g/cm³; energy of formation from the pure elements = -89 meV per atom
1.0
-2.211 3.210 6.647
2.211 -3.210 6.647
2.211 3.210 -6.647
Mn Hg Pd
6 1 5
direct
0.074 0.330 0.744 Mn
0.238 0.000 0.238 Mn
0.415 0.670 0.744 Mn
0.585 0.330 0.256 Mn
0.762 0.000 0.762 Mn
0.926 0.670 0.256 Mn
0.500 0.500 0.000 Hg
0.000 0.500 0.500 Pd
0.167 0.167 0.000 Pd
0.334 0.834 0.500 Pd
0.666 0.166 0.500 Pd
0.833 0.833 0.000 Pd


Entry 6:
MnHg3Pd4 PBE-GGA optimized geometry; raw total energy = -4.030 eV per atom; mass density = 13.0 g/cm³; energy of formation from the pure elements = -174 meV per atom
1.0
3.073 0.000 0.000
0.000 3.073 0.000
0.000 0.000 14.671
Mn Hg Pd
1 3 4
direct
0.000 0.000 0.000 Mn
0.000 0.000 0.239 Hg
0.000 0.000 0.500 Hg
0.000 0.000 0.761 Hg
0.500 0.500 0.106 Pd
0.500 0.500 0.370 Pd
0.500 0.500 0.630 Pd
0.500 0.500 0.894 Pd


Entry 7:
Mn3HgPd4 PBE-GGA optimized geometry; raw total energy = -6.243 eV per atom; mass density = 10.3 g/cm³; energy of formation from the pure elements = -170 meV per atom
1.0
2.233 1.289 7.391
-2.233 1.289 7.391
0.000 -2.578 7.391
Mn Hg Pd
3 1 4
direct
0.000 0.000 0.000 Mn
0.250 0.250 0.250 Mn
0.750 0.750 0.750 Mn
0.500 0.500 0.500 Hg
0.118 0.118 0.118 Pd
0.371 0.371 0.371 Pd
0.629 0.629 0.629 Pd
0.882 0.882 0.882 Pd


Entry 8:
Mn2HgPd3 PBE-GGA optimized geometry; raw total energy = -5.898 eV per atom; mass density = 10.8 g/cm³; energy of formation from the pure elements = -195 meV per atom
1.0
3.071 0.000 0.000
0.000 3.071 0.000
0.000 0.000 10.261
Mn Hg Pd
2 1 3
direct
0.000 0.000 0.156 Mn
0.000 0.000 0.844 Mn
0.000 0.000 0.500 Hg
0.500 0.500 0.000 Pd
0.500 0.500 0.308 Pd
0.500 0.500 0.692 Pd


Entry 9:
MnHg3Pd12 PBE-GGA optimized geometry; raw total energy = -4.655 eV per atom; mass density = 12.4 g/cm³; energy of formation from the pure elements = -131 meV per atom
1.0
4.000 0.000 0.000
0.000 4.000 0.000
0.000 0.000 16.238
Mn Hg Pd
1 3 12
direct
0.000 0.000 0.000 Mn
0.000 0.000 0.246 Hg
0.000 0.000 0.500 Hg
0.000 0.000 0.754 Hg
0.000 0.500 0.117 Pd
0.000 0.500 0.373 Pd
0.000 0.500 0.627 Pd
0.000 0.500 0.883 Pd
0.500 0.000 0.117 Pd
0.500 0.000 0.373 Pd
0.500 0.000 0.627 Pd
0.500 0.000 0.883 Pd
0.500 0.500 0.000 Pd
0.500 0.500 0.244 Pd
0.500 0.500 0.500 Pd
0.500 0.500 0.756 Pd


Entry 10:
Mn4HgPd5 PBE-GGA optimized geometry; raw total energy = -6.472 eV per atom; mass density = 10.0 g/cm³; energy of formation from the pure elements = -177 meV per atom
1.0
2.966 0.000 0.000
0.000 2.966 0.000
0.000 0.000 17.900
Mn Hg Pd
4 1 5
direct
0.000 0.000 0.097 Mn
0.000 0.000 0.290 Mn
0.000 0.000 0.710 Mn
0.000 0.000 0.903 Mn
0.000 0.000 0.500 Hg
0.500 0.500 0.000 Pd
0.500 0.500 0.193 Pd
0.500 0.500 0.384 Pd
0.500 0.500 0.616 Pd
0.500 0.500 0.807 Pd


Entry 11:
MnHg2Pd3 PBE-GGA optimized geometry; raw total energy = -4.408 eV per atom; mass density = 12.5 g/cm³; energy of formation from the pure elements = -183 meV per atom
1.0
2.135 -6.407 0.000
2.135 6.407 0.000
0.000 0.000 7.506
Mn Hg Pd
2 4 6
direct
0.165 0.835 0.000 Mn
0.835 0.165 0.000 Mn
0.167 0.833 0.500 Hg
0.500 0.500 0.000 Hg
0.500 0.500 0.500 Hg
0.833 0.167 0.500 Hg
0.000 0.000 0.242 Pd
0.000 0.000 0.758 Pd
0.328 0.672 0.228 Pd
0.328 0.672 0.772 Pd
0.672 0.328 0.228 Pd
0.672 0.328 0.772 Pd


Entry 12:
Mn5Hg2Pd12 PBE-GGA optimized geometry; raw total energy = -5.680 eV per atom; mass density = 9.5 g/cm³; energy of formation from the pure elements = 44 meV per atom
1.0
7.353 -2.796 0.000
7.353 2.796 0.000
-2.447 0.000 8.277
Mn Hg Pd
5 2 12
direct
0.000 0.000 0.000 Mn
0.306 0.306 0.135 Mn
0.355 0.355 0.640 Mn
0.645 0.645 0.360 Mn
0.694 0.694 0.865 Mn
0.251 0.749 0.500 Hg
0.749 0.251 0.500 Hg
0.047 0.553 0.378 Pd
0.104 0.591 0.910 Pd
0.114 0.114 0.335 Pd
0.409 0.896 0.090 Pd
0.447 0.953 0.622 Pd
0.486 0.486 0.151 Pd
0.514 0.514 0.849 Pd
0.553 0.047 0.378 Pd
0.591 0.104 0.910 Pd
0.886 0.886 0.665 Pd
0.896 0.409 0.090 Pd
0.953 0.447 0.622 Pd